# CePuPaAu PBE-GGA relaxed
# DFT formation energy: -0.03 eV per atom
data_CePuPaAu
_chemical_formula_sum 'Ce4 Pu4 Pa4 Au4'
_cell_length_a 7.182
_cell_length_b 7.182
_cell_length_c 7.182
_cell_angle_alpha 90.00
_cell_angle_beta 90.00
_cell_angle_gamma 90.00
_symmetry_space_group_name_H-M 'F -4 3 m'
_symmetry_Int_Tables_number 216
_symmetry_space_group_name_Hall 'F -4 2 3'
loop_
_atom_site_label
_atom_site_fract_x
_atom_site_fract_y
_atom_site_fract_z
Ce1 0.000 0.000 0.000
Pu1 0.000 0.000 0.500
Pa1 0.250 0.250 0.250
Au1 0.250 0.250 0.750